Compound: AgC
Source: the Alexandria database
Functional: PBEsol
Structure: relaxed

Unit cell a=3.1777 b=3.1777 c=2.8125 alpha=90.00 beta=90.00 gamma=120.00
Last column: nearest neighbours and their distance in Å.
Space group P-6m2 (No. 187)
Unique sites:
Ag  0.0000  0.0000  0.0000 [1 per cell]  6 C 2.31
C  0.3333  0.6667  0.5000 [1 per cell]  6 Ag 2.31

Total magnetic moment, μB/f.u.: 0.0
E above lowest polymorph, eV/f.u.: 1.86
ΔH_f (0 K), eV per atom: 2.205
DOS(E_F), states/eV per cell: 1.19